1.
The following is a DFT calculation (GGA-PBEsol) of an optimized crystal structure of La5Sc4.

Calculated values
Its raw total energy is -52.5 eV/cell.

Cell lengths 4.888, 7.729, 7.729 Å; angles 84.26, 71.57, 71.57 degrees
Element x y z (fractional)
La: 0.331 0.000 0.339
La: 0.331 0.339 0.000
Sc: 0.655 0.345 0.345
La: 0.669 0.000 0.661
Sc: 0.345 0.655 0.655
La: 0.000 0.000 0.000
La: 0.669 0.661 0.000
Sc: 0.000 0.655 0.345
Sc: 0.000 0.345 0.655

=====

2.
The following is a DFT calculation (GGA-PBEsol) of an optimized crystal structure of MgZn6Cu6.

Calculated values
Its raw total energy is -38.4 eV/cell.

Cell lengths 4.880, 4.880, 8.395 Å; angles 90.00, 90.00, 120.00 degrees
Element x y z (fractional)
Cu: 0.500 0.000 0.246
Zn: 0.000 0.000 0.343
Zn: 0.000 0.000 0.657
Cu: 0.000 0.500 0.754
Zn: 0.667 0.333 0.000
Cu: 0.500 0.500 0.754
Zn: 0.667 0.333 0.500
Cu: 0.000 0.500 0.246
Zn: 0.333 0.667 0.500
Mg: 0.000 0.000 0.000
Zn: 0.333 0.667 0.000
Cu: 0.500 0.000 0.754
Cu: 0.500 0.500 0.246

=====

3.
The following is a DFT calculation (GGA-PBEsol) of an optimized crystal structure of ZnSnO2.

Calculated values
The formation energy (no corrections) comes out at -926 meV/atom. The value obtained for the excess energy over the best structure of this formula in the dataset is 1.38 eV/f.u.

Cell lengths 3.175, 3.175, 7.653 Å; angles 78.03, 78.03, 60.00 degrees
Element x y z (fractional)
O: 0.880 0.880 0.359
Zn: 0.000 0.000 0.000
Sn: 0.500 0.500 0.500
O: 0.120 0.120 0.641

=====

4.
The following is a DFT calculation (GGA-PBEsol) of an optimized crystal structure of InAg2Pt.

Calculated values
Its raw total energy is -16.4 eV/cell.

Cell lengths 2.963, 2.963, 7.866 Å; angles 90.00, 90.00, 90.00 degrees
Element x y z (fractional)
Ag: 0.000 0.000 0.736
Ag: 0.000 0.000 0.264
Pt: 0.500 0.500 0.500
In: 0.500 0.500 0.000

=====

5.
The following is a DFT calculation (GGA-PBEsol) of an optimized crystal structure of ScSiSbTe2.

Calculated values
The formation energy (no corrections) comes out at 203 meV/atom.

Cell lengths 5.076, 5.188, 5.188 Å; angles 90.00, 90.00, 90.00 degrees
Element x y z (fractional)
Sb: 0.500 0.000 0.000
Te: 0.000 0.000 0.500
Si: 0.000 0.000 0.000
Te: 0.000 0.500 0.000
Sc: 0.500 0.500 0.500

=====

6.
The following is a DFT calculation (GGA-PBEsol) of an optimized crystal structure of RuPtW2.

Calculated values
The value obtained for the excess energy over the best structure of this formula in the dataset is 0.15 eV/f.u.

Cell lengths 2.752, 3.905, 5.503 Å; angles 90.00, 90.00, 90.00 degrees
Element x y z (fractional)
Pt: 0.500 0.500 0.000
W: 0.000 0.000 0.738
W: 0.000 0.000 0.262
Ru: 0.500 0.500 0.500